Density functional theory data (PBE) for a geometry-optimized Tl2HgOs structure.

The structure belongs to space group Pmmm (No. 47); the cell edges are 3.1577, 5.0888 and 5.4851 Å and the angles 90.00°, 90.00° and 90.00°. The distinct sites, in fractional coordinates, are Tl at (0.0000, 0.0000, 0.0000), Tl at (0.5000, 0.0000, 0.5000), Hg at (0.0000, 0.5000, 0.5000) and Os at (0.5000, 0.5000, 0.0000).

As for the distance to the lowest polymorph of the same formula: 332.2 meV/atom. For the formation energy from the elements, the calculation gives 0.93 eV/atom. The density of states at the Fermi level comes out at 2.35 states/eV/cell. Its spin magnetization is 0.9 μB per cell.